The following is a DFT calculation (GGA+U) of a geometry-optimized LiNiI2F structure.

Values from the calculation:
SG   P4/mmm, No. 123
Total moment   1.4 μB per cell
Density of states at the Fermi level   1.00 states/eV/atom
E_tot   -2.373 eV/atom
Theoretical density   4.01 g/cm³

Cell: 6.196 6.196 3.647 Å, 90.00 90.00 90.00°
Atoms (fractional coordinates):
1 Li 0.000 0.000 0.000
2 Ni 0.500 0.500 0.000
3 I 0.000 0.500 0.500
4 I 0.500 0.000 0.500
5 F 0.500 0.500 0.500